DFT (PBE-GGA) results for a geometry-optimized RbGdTeSe structure.

Computed properties:
Spin magnetization: 0.00 μB/f.u.
Theoretical density: 5.36 g/cm3
Energy: -0.16983 hartree per atom

Unit cell a=8.6720 b=8.6720 c=8.6720 alpha=29.42 beta=29.42 gamma=29.42
With the nearest neighbours (Å) after each atom.
Sites, in units of the cell vectors:
Rb  0.0000  0.0000  0.0000  3 Se 3.51, 3 Te 3.62
Gd  0.5095  0.5095  0.5095  3 Se 2.95, 3 Te 3.12
Te  0.7701  0.7701  0.7701  3 Gd 3.12
Se  0.2362  0.2362  0.2362  3 Gd 2.95